(1)
10
Lattice="5.769 0.332 0.243 2.903 4.997 0.243 1.598 0.982 7.640" Properties=species:S:1:pos:R:3 comment="Sm2ZnRh2 GGA-PBE relaxed" m_tot_mub_per_cell=0.00 formation_enthalpy_0k_ev_per_atom=-0.7013 pbc="T T T"
Sm 3.734 1.337 1.311
Sm 6.591 3.093 2.995
Sm 6.536 4.973 6.815
Sm 3.679 3.217 5.131
Zn 3.711 4.576 2.153
Zn 6.559 1.734 5.973
Rh 5.021 0.794 4.093
Rh 8.091 2.680 7.853
Rh 5.249 5.516 4.033
Rh 2.179 3.630 0.273

(2)
5
Lattice="-4.145 -0.945 -1.882 0.490 -4.473 1.166 -2.048 0.841 4.088" Properties=species:S:1:pos:R:3 comment="Li3CrP GGA-PBE relaxed" relative_energy_mev_per_atom=0 m_tot_mub_per_cell=5.72 formation_enthalpy_0k_ev_per_atom=0.1648 pbc="T T T"
Cr -2.851 -2.288 1.686
Li 0.245 -2.237 0.583
Li -1.024 0.421 2.044
Li -2.072 -0.472 -0.941
P 0.000 0.000 0.000

(3)
12
Lattice="7.291 0.000 -0.182 -0.011 6.239 0.309 2.146 2.451 6.181" Properties=species:S:1:pos:R:3 comment="NdRhSe GGA-PBE relaxed" m_tot_mub_per_cell=0.00 e_form_raw_ev_per_atom=-0.9791 pbc="T T T"
Nd 1.772 1.124 2.390
Nd 2.927 3.737 4.815
Nd 5.714 3.685 1.414
Nd 5.308 6.654 4.233
Rh 3.011 6.622 5.992
Rh 3.020 2.273 0.139
Rh 3.979 6.039 1.655
Rh 7.988 8.182 5.297
Se 8.122 5.761 4.715
Se 6.371 0.696 1.058
Se 5.928 3.276 4.403
Se 2.474 4.092 1.735

(4)
8
Lattice="-3.305 1.965 -0.448 -1.911 -2.779 1.900 -0.965 4.303 9.264" Properties=species:S:1:pos:R:3 comment="TcMo2Pb GGA-PBE relaxed" m_tot_mub_per_cell=0.00 formation_enthalpy_0k_ev_per_atom=1.0282 pbc="T T T"
Pb 0.000 0.000 0.000
Pb -3.439 2.931 4.771
Mo -2.576 1.975 2.269
Mo -1.818 -0.434 3.452
Mo -2.662 2.948 7.475
Mo -5.305 2.490 8.236
Tc -2.608 -0.407 0.726
Tc -2.742 0.559 5.945

(5)
5
Lattice="4.123 0.000 0.000 0.000 6.358 0.000 0.000 0.000 4.123" Properties=species:S:1:pos:R:3 comment="NiBiTeC2 GGA-PBE relaxed" m_tot_mub_per_cell=1.46 e_form_raw_ev_per_atom=2.4700 pbc="T T T"
Ni 2.062 3.179 2.062
C 0.000 0.000 2.062
C 2.062 0.000 0.000
Te 0.000 0.000 0.000
Bi 0.000 3.179 0.000

(6)
12
Lattice="0.610 3.925 -3.413 4.686 -7.507 -3.780 -9.427 -1.926 0.116" Properties=species:S:1:pos:R:3 comment="La6DyEr5 GGA-PBE relaxed" m_tot_mub_per_cell=0.00 formation_enthalpy_0k_ev_per_atom=0.0232 pbc="T T T"
Er -6.768 -0.895 -2.240
Er -4.724 -3.786 -1.183
Er -2.066 -2.754 -3.539
Er 0.592 -1.722 -5.895
Er 2.636 -4.613 -4.837
Dy 0.000 0.000 0.000
La -3.386 -0.448 -1.122
La -5.450 -3.199 -4.657
La -0.730 0.583 -3.480
La -3.402 -6.090 -3.598
La 1.318 -2.308 -2.421
La -0.745 -5.060 -5.955

(7)
4
Lattice="-0.820 3.593 0.725 -3.503 -0.987 0.929 2.230 -0.978 7.371" Properties=species:S:1:pos:R:3 comment="BaErZn2 GGA-PBE relaxed" relative_energy_mev_per_atom=0 m_tot_mub_per_cell=0.00 formation_enthalpy_0k_ev_per_atom=-0.2197 pbc="T T T"
Zn 1.804 -0.792 5.965
Zn 0.425 -0.187 1.406
Ba -1.047 0.814 4.512
Er -2.161 1.303 0.827

(8)
8
Lattice="-2.980 1.744 -0.607 -0.751 -2.050 -2.201 -5.778 -8.219 9.626" Properties=species:S:1:pos:R:3 comment="BPRhCl GGA-PBE relaxed" relative_energy_mev_per_atom=219 m_tot_mub_per_cell=0.00 e_form_raw_ev_per_atom=-0.0032 pbc="T T T"
P -2.407 -3.409 3.997
P -5.672 -8.544 7.709
B -5.774 -6.652 8.166
B -3.260 -3.568 2.252
Rh -6.652 -5.163 7.079
Rh -4.139 -2.079 1.165
Cl -2.362 -0.537 1.306
Cl -5.626 -5.671 5.019

(9)
4
Lattice="2.732 0.000 0.000 -1.366 8.704 0.019 -1.366 0.209 2.357" Properties=species:S:1:pos:R:3 comment="FeMo GGA-PBE relaxed" m_tot_mub_per_cell=4.26 formation_enthalpy_0k_ev_per_atom=0.3023 pbc="T T T"
Fe 1.366 8.554 0.033
Fe -1.366 6.834 1.769
Mo 0.000 4.605 1.175
Mo 1.366 2.080 0.607

(10)
8
Lattice="-0.510 6.574 0.524 -3.611 -0.718 5.495 0.575 2.994 4.750" Properties=species:S:1:pos:R:3 comment="MgNb2O GGA-PBE relaxed" relative_energy_mev_per_atom=0 m_tot_mub_per_cell=0.00 e_form_raw_ev_per_atom=-0.3998 pbc="T T T"
Nb -0.569 4.034 2.143
Nb -2.234 1.855 4.746
Nb -1.517 4.362 6.433
Nb -2.771 7.450 8.216
Mg 0.000 0.000 0.000
Mg -0.997 6.248 4.142
O -2.060 2.928 3.010
O -2.548 2.602 6.627

(11)
4
Lattice="-4.271 1.065 -2.384 -2.506 -0.945 -4.229 -2.789 -4.311 2.030" Properties=species:S:1:pos:R:3 comment="ScHgP2 GGA-PBE relaxed" m_tot_mub_per_cell=0.00 formation_enthalpy_0k_ev_per_atom=-0.3797 pbc="T T T"
Hg -7.175 -3.143 -3.438
P -6.992 -0.380 -6.274
P -4.568 -1.595 -2.631
Sc -2.392 -1.048 -1.146

(12)
8
Lattice="4.315 0.000 0.000 2.157 3.737 0.000 2.157 1.246 8.995" Properties=species:S:1:pos:R:3 comment="Li2CeAlZn4 GGA-PBE relaxed" m_tot_mub_per_cell=0.90 formation_enthalpy_0k_ev_per_atom=-0.1425 pbc="T T T"
Li 6.472 3.737 6.203
Li 2.157 1.246 2.791
Ce 0.000 0.000 0.000
Al 4.315 2.491 4.497
Zn 4.315 2.491 7.134
Zn 6.472 3.737 3.289
Zn 2.157 1.246 5.706
Zn 4.315 2.491 1.861

Copy entry 3 word for word.
12
Lattice="7.291 0.000 -0.182 -0.011 6.239 0.309 2.146 2.451 6.181" Properties=species:S:1:pos:R:3 comment="NdRhSe GGA-PBE relaxed" m_tot_mub_per_cell=0.00 e_form_raw_ev_per_atom=-0.9791 pbc="T T T"
Nd 1.772 1.124 2.390
Nd 2.927 3.737 4.815
Nd 5.714 3.685 1.414
Nd 5.308 6.654 4.233
Rh 3.011 6.622 5.992
Rh 3.020 2.273 0.139
Rh 3.979 6.039 1.655
Rh 7.988 8.182 5.297
Se 8.122 5.761 4.715
Se 6.371 0.696 1.058
Se 5.928 3.276 4.403
Se 2.474 4.092 1.735